(1)
LiLaPmY | PBE-GGA | relaxed

Properties
Space group: F-43m
Volume (Å³/f.u.): 127.17
Formation enthalpy at 0 K (eV per formula unit): 0.8

Unit cell a=5.6445 b=5.6445 c=5.6445 alpha=60.00 beta=60.00 gamma=60.00
Last column: nearest neighbours and their distance in Å.
Fractional positions:
Li 0.0000 0.0000 0.0000  4 La 3.46, 4 Y 3.46
La 0.2500 0.2500 0.2500  4 Pm 3.46, 4 Li 3.46
Pm 0.5000 0.5000 0.5000  4 Y 3.46, 4 La 3.46
Y 0.7500 0.7500 0.7500  4 Pm 3.46, 4 Li 3.46


(2)
LiLaPmZn | PBE-GGA | relaxed

Properties
Space group: F-43m
Volume (Å³/f.u.): 106.01
Formation enthalpy at 0 K (eV per formula unit): -0.4
Offset from the most stable computed form (eV per atom): 0.016

Unit cell a=5.3124 b=5.3124 c=5.3124 alpha=60.00 beta=60.00 gamma=60.00
Last column: nearest neighbours and their distance in Å.
Fractional positions:
Li 0.0000 0.0000 0.0000  4 La 3.25, 4 Pm 3.25
La 0.7500 0.7500 0.7500  4 Li 3.25, 4 Zn 3.25
Pm 0.2500 0.2500 0.2500  4 Li 3.25, 4 Zn 3.25
Zn 0.5000 0.5000 0.5000  4 La 3.25, 4 Pm 3.25


(3)
LiLaPmZn | PBE-GGA | relaxed

Properties
Space group: P4mm
Volume (Å³/f.u.): 107.83
Formation enthalpy at 0 K (eV per formula unit): -0.5
Offset from the most stable computed form (eV per atom): 0.000

Unit cell a=3.7991 b=3.7991 c=7.4713 alpha=90.00 beta=90.00 gamma=90.00
Last column: nearest neighbours and their distance in Å.
Fractional positions:
Li 0.0000 0.0000 0.0000  4 Pm 3.32, 4 La 3.41, 1 Zn 3.58
La 0.5000 0.5000 0.7192  4 Zn 3.23, 4 Li 3.41, 1 Pm 3.42
Pm 0.5000 0.5000 0.2611  4 Zn 3.14, 4 Li 3.32, 1 La 3.42
Zn 0.0000 0.0000 0.4793  4 Pm 3.14, 4 La 3.23


Total moment in μB per atom, matching the order above: 0.00; 0.00; 0.00